Li4ScAu | GGA-PBE | relaxed

a b c (Å): 5.141 5.141 5.141
angles (deg): 60.00 60.00 60.00
Atoms (fractional coordinates):
Li (0.882, 0.373, 0.373)
Au (0.000, 0.000, 0.000)
Li (0.373, 0.882, 0.373)
Li (0.373, 0.373, 0.373)
Li (0.373, 0.373, 0.882)
Sc (0.750, 0.750, 0.750)

Output
The calculation puts the density of states at the Fermi level at 1.07 states/eV/atom. The calculation puts the total DFT energy (no corrections) at -18.0 eV for the cell shown. For the magnetization, the calculation gives 0.0000 μB/atom. The crystal system is cubic. For the theoretical density, the calculation gives 4.66 Mg/m³. The formation energy is -0.13 eV/atom.